(1)
The following is a PBE-GGA calculation of a relaxed Tb3Er6Th2 crystal, from Alexandria via LeMat-Bulk.

The formation energy is 20.4 kJ per mole of atoms. Its mass density is 8.9 g cm⁻³.

It has space group C2/m (No. 12), with a = 6.080 Å, b = 10.551 Å, c = 11.494 Å, α = 90.00°, β = 100.32° and γ = 90.00°. The asymmetric unit holds Tb at (0.000, 0.000, 0.000), Tb at (0.000, 0.335, 0.000), Er at (0.248, 0.000, 0.747), Er at (0.249, 0.333, 0.746) and Th at (0.000, 0.165, 0.500).

=====

(2)
The following is a PBE-GGA calculation of a relaxed Tb7Er2Th2 crystal, from Alexandria via LeMat-Bulk.

The formation energy is 18.2 kJ per mole of atoms. Its mass density is 8.9 g cm⁻³. For the energy relative to the lowest polymorph listed for this composition, the calculation gives 0.011 eV per atom.

It has space group C2/m (No. 12), with a = 11.303 Å, b = 11.526 Å, c = 5.994 Å, α = 90.00°, β = 113.35° and γ = 90.00°. The asymmetric unit holds Tb at (0.000, 0.000, 0.000), Tb at (0.087, 0.500, 0.805), Tb at (0.175, 0.233, 0.170), Er at (0.234, 0.000, 0.587) and Th at (0.000, 0.211, 0.500).

=====

(3)
The following is a PBE-GGA calculation of a relaxed TbEr2Th crystal, from Alexandria via LeMat-Bulk.

The formation energy is 2.0 kJ per mole of atoms. Its mass density is 9.6 g cm⁻³. For the energy relative to the lowest polymorph listed for this composition, the calculation gives 0.028 eV per atom.

It has space group R-3m (No. 166, hexagonal axes), with a = 3.5544 Å, b = 3.5544 Å, c = 34.3364 Å, α = 90.00°, β = 90.00° and γ = 120.00°. The asymmetric unit holds Tb at (0.0000, 0.0000, 0.0000), Er at (0.0000, 0.0000, 0.2487) and Th at (0.0000, 0.0000, 0.5000).